[1]
## RbLi2La2 (GGA-PBE)

Data for a relaxed RbLi2La2 crystal.

Cell lengths 10.063, 10.063, 3.625 Å; angles 90.00, 90.00, 90.00 degrees
Positions (direct):
La 0.394 0.106 0.500
La 0.894 0.394 0.500
La 0.106 0.606 0.500
La 0.606 0.894 0.500
Li 0.177 0.323 0.000
Li 0.677 0.177 0.000
Li 0.823 0.677 0.000
Li 0.323 0.823 0.000
Rb 0.500 0.500 0.000
Rb 0.000 0.000 0.000

Calculated values
distance to the lowest polymorph of the same formula: 0.000 eV per formula unit
total energy: -2.6220 eV per atom
energy of formation from the pure elements: 0.3081 eV/atom

[2]
## PrBr (GGA-PBE)

Data for a relaxed PrBr crystal.

Cell lengths 4.318, 4.318, 4.318 Å; angles 60.00, 60.00, 60.00 degrees
Positions (direct):
Pr 0.000 0.000 0.000
Br 0.500 0.500 0.500

Calculated values
total energy: -4.2015 eV per atom

[3]
## In3HgSb3 (GGA-PBE)

Data for a relaxed In3HgSb3 crystal.

Cell lengths 8.151, 8.151, 8.151 Å; angles 90.00, 90.00, 90.00 degrees
Positions (direct):
Sb 0.000 0.250 0.500
Sb 0.250 0.500 0.000
Sb 0.750 0.500 0.000
Sb 0.500 0.000 0.750
Sb 0.000 0.750 0.500
Sb 0.500 0.000 0.250
In 0.500 0.250 0.000
In 0.000 0.500 0.250
In 0.250 0.000 0.500
In 0.000 0.500 0.750
In 0.500 0.750 0.000
In 0.750 0.000 0.500
Hg 0.500 0.500 0.500
Hg 0.000 0.000 0.000

Calculated values
total energy: -2.9853 eV per atom

[4]
## LiCaY2S4 (GGA-PBE)

Data for a relaxed LiCaY2S4 crystal.

Cell lengths 3.888, 6.758, 13.659 Å; angles 90.00, 90.00, 106.72 degrees
Positions (direct):
S 0.000 0.000 0.500
S 0.726 0.453 0.878
S 0.546 0.092 0.250
S 0.454 0.908 0.750
S 0.274 0.547 0.378
S 0.000 0.000 0.000
S 0.274 0.547 0.122
S 0.726 0.453 0.622
Y 0.370 0.741 0.942
Y 0.630 0.259 0.442
Y 0.370 0.741 0.558
Y 0.630 0.259 0.058
Li 0.150 0.300 0.250
Li 0.850 0.700 0.750
Ca 0.881 0.763 0.250
Ca 0.119 0.237 0.750

Calculated values
total energy: -6.0813 eV per atom

[5]
## PdSe2N (GGA-PBE)

Data for a relaxed PdSe2N crystal.

Cell lengths 6.353, 6.353, 6.353 Å; angles 37.24, 37.24, 37.24 degrees
Positions (direct):
N 0.000 0.000 0.000
Se 0.099 0.099 0.099
Se 0.901 0.901 0.901
Pd 0.500 0.500 0.500

Calculated values
total energy: -4.6587 eV per atom

[6]
## KAcPuO6 (GGA-PBE)

Data for a relaxed KAcPuO6 crystal.

Cell lengths 6.036, 6.036, 5.097 Å; angles 90.00, 90.00, 59.99 degrees
Each line ends with the local moment (μB).
Positions (direct):
Ac 0.000 0.000 0.000  0.00
O 0.079 0.617 0.723  0.01
O 0.304 0.617 0.277  0.01
O 0.079 0.304 0.277  0.01
O 0.304 0.079 0.723  0.01
O 0.617 0.305 0.723  0.01
O 0.617 0.079 0.277  0.01
Pu 0.333 0.333 0.500  -0.12
K 0.667 0.667 0.500  0.00

Calculated values
total energy: -7.8264 eV per atom